Record 1
# PBE Ce3TlHg, optimized geometry
data_Ce3TlHg
_chemical_formula_sum 'Ce12 Tl4 Hg4'
_cell_length_a 10.5982
_cell_length_b 16.3440
_cell_length_c 3.3615
_cell_angle_alpha 90.00
_cell_angle_beta 90.00
_cell_angle_gamma 90.00
_symmetry_space_group_name_H-M 'C m m m'
_symmetry_Int_Tables_number 65
_symmetry_space_group_name_Hall '-C 2 2'
loop_
_atom_site_label
_atom_site_type_symbol
_atom_site_fract_x
_atom_site_fract_y
_atom_site_fract_z
_atom_site_occupancy
Ce1 Ce 0.0000 0.1943 0.0000 1
Ce2 Ce 0.2392 0.4168 0.0000 1
Tl1 Tl 0.0000 0.0000 0.5000 1
Tl2 Tl 0.0000 0.5000 0.5000 1
Hg1 Hg 0.2500 0.2500 0.5000 1
# calculated total energy = -83.62 eV per cell
# crystal system = orthorhombic
# ρ = 9.415 g/cm³
# calculated volume = 29.11 Å³/atom

Record 2
# PBE Ce2TlHg4, optimized geometry
data_Ce2TlHg4
_chemical_formula_sum 'Ce4 Tl2 Hg8'
_cell_length_a 5.8514
_cell_length_b 5.8514
_cell_length_c 12.3573
_cell_angle_alpha 90.00
_cell_angle_beta 90.00
_cell_angle_gamma 90.00
_symmetry_space_group_name_H-M 'I 4/m m m'
_symmetry_Int_Tables_number 139
_symmetry_space_group_name_Hall '-I 4 2'
loop_
_atom_site_label
_atom_site_type_symbol
_atom_site_fract_x
_atom_site_fract_y
_atom_site_fract_z
_atom_site_occupancy
Ce1 Ce 0.0000 0.0000 0.1370 1
Tl1 Tl 0.0000 0.0000 0.5000 1
Hg1 Hg 0.0000 0.5000 0.0000 1
Hg2 Hg 0.0000 0.5000 0.2500 1
# calculated total energy = -31.17 eV per cell
# crystal system = tetragonal
# ρ = 10.102 g/cm³
# calculated volume = 30.22 Å³/atom

Record 3
# PBE Ce8Tl4Hg3, optimized geometry
data_Ce8Tl4Hg3
_chemical_formula_sum 'Ce16 Tl8 Hg6'
_cell_length_a 12.6963
_cell_length_b 12.8146
_cell_length_c 6.5760
_cell_angle_alpha 90.00
_cell_angle_beta 120.70
_cell_angle_gamma 90.00
_symmetry_space_group_name_H-M 'C 1 2/m 1'
_symmetry_Int_Tables_number 12
loop_
_symmetry_equiv_pos_as_xyz
'x,y,z'
'-x,-y,-z'
'-x,y,-z'
'x,-y,z'
'x+1/2,y+1/2,z'
'-x+1/2,-y+1/2,-z'
'-x+1/2,y+1/2,-z'
'x+1/2,-y+1/2,z'
loop_
_atom_site_label
_atom_site_type_symbol
_atom_site_fract_x
_atom_site_fract_y
_atom_site_fract_z
_atom_site_occupancy
Ce1 Ce 0.0000 0.1612 0.0000 1
Ce2 Ce 0.0000 0.2455 0.5000 1
Ce3 Ce 0.2310 0.0000 0.0252 1
Ce4 Ce 0.2316 0.0000 0.4379 1
Tl1 Tl 0.0000 0.5000 0.0000 1
Tl2 Tl 0.0000 0.5000 0.5000 1
Tl3 Tl 0.2500 0.2500 0.0000 1
Hg1 Hg 0.0000 0.0000 0.5000 1
Hg2 Hg 0.2500 0.2500 0.5000 1
# calculated total energy = -115.75 eV per cell
# crystal system = monoclinic
# ρ = 9.171 g/cm³
# calculated volume = 30.66 Å³/atom